Model A:
Material: Mg7Tl2In2
Method: DFT, PBE-GGA
State: optimized geometry

As for the density of states at the Fermi level: 0.405 states/eV/atom. The volume comes out at 25.84 Å³/atom.

The space group is Cmmm (No. 65) and the conventional cell measures 6.5977, 10.5792 and 8.1455 Å, with angles of 90.00, 90.00 and 90.00 degrees. The distinct sites, in fractional coordinates, are Mg at (0.0000, 0.0000, 0.0000), Mg at (0.0000, 0.5000, 0.1992), Mg at (0.2500, 0.2500, 0.3099), Tl at (0.2354, 0.0000, 0.5000) and In at (0.0000, 0.2706, 0.0000).



Model B:
Material: Mg7Tl2In2
Method: DFT, PBE-GGA
State: optimized geometry

As for the density of states at the Fermi level: 0.395 states/eV/atom. The volume comes out at 24.74 Å³/atom.

The space group is C2/m (No. 12) and the conventional cell measures 7.3104, 8.9797 and 8.6420 Å, with angles of 90.00, 106.37 and 90.00 degrees. The distinct sites, in fractional coordinates, are Mg at (0.0000, 0.0000, 0.0000), Mg at (0.1298, 0.0000, 0.3800), Mg at (0.2391, 0.3100, 0.1772), Tl at (0.0000, 0.3010, 0.5000) and In at (0.0960, 0.5000, 0.8440).



Order from most stable to least stable according to the calculation: model B, model A